1.
A relaxed LuCdSnRh crystal, computed with GGA-PBE.

Computed properties:
**DOS at the Fermi energy**: 2.8 states/eV/cell
**Spin magnetization**: 0.0 μB/cell
**Total energy**: -4.61 eV per atom
**Calculated volume**: 80 Å³/cell
**Calculated density**: 10.53 Mg/m³

Unit cell a=4.8412 b=4.8412 c=4.8412 alpha=60.00 beta=60.00 gamma=60.00
With the nearest neighbours (Å) after each atom.
Fractional positions:
Lu 0.5000 0.5000 0.5000  4 Cd 2.96, 4 Rh 2.96
Rh 0.2500 0.2500 0.2500  4 Sn 2.96, 4 Lu 2.96
Sn 0.0000 0.0000 0.0000  4 Cd 2.96, 4 Rh 2.96
Cd 0.7500 0.7500 0.7500  4 Sn 2.96, 4 Lu 2.96

2.
A relaxed TbLuCdRh crystal, computed with GGA-PBE.

Computed properties:
**DOS at the Fermi energy**: 2.5 states/eV/cell
**Spin magnetization**: 0.0 μB/cell
**Total energy**: -4.90 eV per atom
**Calculated volume**: 89 Å³/cell
**Calculated density**: 10.24 Mg/m³

Unit cell a=5.0132 b=5.0132 c=5.0132 alpha=60.00 beta=60.00 gamma=60.00
With the nearest neighbours (Å) after each atom.
Fractional positions:
Rh 0.2500 0.2500 0.2500  4 Lu 3.07, 4 Tb 3.07
Lu 0.5000 0.5000 0.5000  4 Cd 3.07, 4 Rh 3.07
Tb 0.0000 0.0000 0.0000  4 Rh 3.07, 4 Cd 3.07
Cd 0.7500 0.7500 0.7500  4 Tb 3.07, 4 Lu 3.07

3.
A relaxed LuThCdRh crystal, computed with GGA-PBE.

Computed properties:
**DOS at the Fermi energy**: 3.9 states/eV/cell
**Spin magnetization**: 0.0 μB/cell
**Total energy**: -5.46 eV per atom
**Calculated volume**: 95 Å³/cell
**Calculated density**: 10.88 Mg/m³

Unit cell a=5.1221 b=5.1221 c=5.1221 alpha=60.00 beta=60.00 gamma=60.00
With the nearest neighbours (Å) after each atom.
Fractional positions:
Lu 0.7500 0.7500 0.7500  4 Cd 3.14, 4 Rh 3.14
Rh 0.5000 0.5000 0.5000  4 Th 3.14, 4 Lu 3.14
Th 0.2500 0.2500 0.2500  4 Cd 3.14, 4 Rh 3.14
Cd 0.0000 0.0000 0.0000  4 Lu 3.14, 4 Th 3.14

4.
A relaxed YLuCdRh crystal, computed with GGA-PBE.

Computed properties:
**DOS at the Fermi energy**: 2.4 states/eV/cell
**Spin magnetization**: 0.0 μB/cell
**Total energy**: -5.37 eV per atom
**Calculated volume**: 89 Å³/cell
**Calculated density**: 8.96 Mg/m³

Unit cell a=5.0084 b=5.0084 c=5.0084 alpha=60.00 beta=60.00 gamma=60.00
With the nearest neighbours (Å) after each atom.
Fractional positions:
Y 0.7500 0.7500 0.7500  4 Cd 3.07, 4 Rh 3.07
Lu 0.2500 0.2500 0.2500  4 Cd 3.07, 4 Rh 3.07
Rh 0.0000 0.0000 0.0000  4 Y 3.07, 4 Lu 3.07
Cd 0.5000 0.5000 0.5000  4 Lu 3.07, 4 Y 3.07

5.
A relaxed LuZnCdRh crystal, computed with GGA-PBE.

Computed properties:
**DOS at the Fermi energy**: 2.3 states/eV/cell
**Spin magnetization**: 0.0 μB/cell
**Total energy**: -3.91 eV per atom
**Calculated volume**: 74 Å³/cell
**Calculated density**: 10.22 Mg/m³

Unit cell a=4.7139 b=4.7139 c=4.7139 alpha=60.00 beta=60.00 gamma=60.00
With the nearest neighbours (Å) after each atom.
Fractional positions:
Zn 0.0000 0.0000 0.0000  4 Cd 2.89, 4 Lu 2.89
Lu 0.2500 0.2500 0.2500  4 Rh 2.89, 4 Zn 2.89
Rh 0.5000 0.5000 0.5000  4 Lu 2.89, 4 Cd 2.89
Cd 0.7500 0.7500 0.7500  4 Zn 2.89, 4 Rh 2.89

6.
A relaxed LuZrCdRh crystal, computed with GGA-PBE.

Computed properties:
**DOS at the Fermi energy**: 4.3 states/eV/cell
**Spin magnetization**: 0.0 μB/cell
**Total energy**: -5.75 eV per atom
**Calculated volume**: 83 Å³/cell
**Calculated density**: 9.68 Mg/m³

Unit cell a=4.8887 b=4.8887 c=4.8887 alpha=60.00 beta=60.00 gamma=60.00
With the nearest neighbours (Å) after each atom.
Fractional positions:
Lu 0.5000 0.5000 0.5000  4 Cd 2.99, 4 Rh 2.99
Rh 0.2500 0.2500 0.2500  4 Lu 2.99, 4 Zr 2.99
Zr 0.0000 0.0000 0.0000  4 Cd 2.99, 4 Rh 2.99
Cd 0.7500 0.7500 0.7500  4 Zr 2.99, 4 Lu 2.99

7.
A relaxed LuScCdRu crystal, computed with GGA-PBE.

Computed properties:
**DOS at the Fermi energy**: 3.4 states/eV/cell
**Spin magnetization**: 0.0 μB/cell
**Total energy**: -5.62 eV per atom
**Calculated volume**: 80 Å³/cell
**Calculated density**: 8.97 Mg/m³

Unit cell a=4.8416 b=4.8416 c=4.8416 alpha=60.00 beta=60.00 gamma=60.00
With the nearest neighbours (Å) after each atom.
Fractional positions:
Sc 0.0000 0.0000 0.0000  4 Ru 2.96, 4 Cd 2.96
Ru 0.7500 0.7500 0.7500  4 Sc 2.96, 4 Lu 2.96
Lu 0.5000 0.5000 0.5000  4 Cd 2.96, 4 Ru 2.96
Cd 0.2500 0.2500 0.2500  4 Lu 2.96, 4 Sc 2.96

8.
A relaxed LuThCdRu crystal, computed with GGA-PBE.

Computed properties:
**DOS at the Fermi energy**: 3.1 states/eV/cell
**Spin magnetization**: 0.0 μB/cell
**Total energy**: -5.77 eV per atom
**Calculated volume**: 94 Å³/cell
**Calculated density**: 10.99 Mg/m³

Unit cell a=5.0986 b=5.0986 c=5.0986 alpha=60.00 beta=60.00 gamma=60.00
With the nearest neighbours (Å) after each atom.
Fractional positions:
Ru 0.0000 0.0000 0.0000  4 Lu 3.12, 4 Th 3.12
Lu 0.7500 0.7500 0.7500  4 Cd 3.12, 4 Ru 3.12
Th 0.2500 0.2500 0.2500  4 Ru 3.12, 4 Cd 3.12
Cd 0.5000 0.5000 0.5000  4 Lu 3.12, 4 Th 3.12

9.
A relaxed LuZrCdRu crystal, computed with GGA-PBE.

Computed properties:
**DOS at the Fermi energy**: 2.7 states/eV/cell
**Spin magnetization**: 0.0 μB/cell
**Total energy**: -6.09 eV per atom
**Calculated volume**: 81 Å³/cell
**Calculated density**: 9.78 Mg/m³

Unit cell a=4.8659 b=4.8659 c=4.8659 alpha=60.00 beta=60.00 gamma=60.00
With the nearest neighbours (Å) after each atom.
Fractional positions:
Ru 0.7500 0.7500 0.7500  4 Lu 2.98, 4 Zr 2.98
Lu 0.5000 0.5000 0.5000  4 Cd 2.98, 4 Ru 2.98
Zr 0.0000 0.0000 0.0000  4 Ru 2.98, 4 Cd 2.98
Cd 0.2500 0.2500 0.2500  4 Zr 2.98, 4 Lu 2.98

10.
A relaxed Lu2CdS crystal, computed with GGA-PBE.

Computed properties:
**DOS at the Fermi energy**: 3.1 states/eV/cell
**Uncorrected formation energy**: -0.695 eV per atom
**Spin magnetization**: 0.0 μB/cell
**Total energy**: -4.22 eV per atom
**Calculated volume**: 105 Å³/cell
**Calculated density**: 7.80 Mg/m³

Unit cell a=3.5809 b=3.5809 c=9.6966 alpha=79.36 beta=79.36 gamma=60.00
With the nearest neighbours (Å) after each atom.
Fractional positions:
S 0.5000 0.5000 0.5000  6 Lu 2.64
Lu 0.1088 0.1088 0.6735  3 S 2.64
Lu 0.8912 0.8912 0.3265  3 S 2.64
Cd 0.0000 0.0000 0.0000  2 Lu 3.09

11.
A relaxed Lu2CdS4 crystal, computed with GGA-PBE.

Computed properties:
**Uncorrected formation energy**: -1.678 eV per atom
**Spin magnetization**: 0.0 μB/cell
**Total energy**: -5.46 eV per atom
**Calculated volume**: 343 Å³/cell
**Calculated density**: 5.71 Mg/m³

Unit cell a=7.8608 b=7.8608 c=7.8608 alpha=60.00 beta=60.00 gamma=60.00
With the nearest neighbours (Å) after each atom.
Fractional positions:
Lu 0.1250 0.1250 0.6250  6 S 2.69
Lu 0.1250 0.6250 0.1250  6 S 2.69
Lu 0.6250 0.1250 0.1250  6 S 2.69
Lu 0.1250 0.1250 0.1250  6 S 2.69
Cd 0.7500 0.7500 0.7500  4 S 2.57
Cd 0.5000 0.5000 0.5000  4 S 2.57
S 0.8837 0.3488 0.8837  1 Cd 2.57, 3 Lu 2.69
S 0.3663 0.3663 0.9012  1 Cd 2.57, 3 Lu 2.69
S 0.3663 0.3663 0.3663  1 Cd 2.57, 3 Lu 2.69
S 0.9012 0.3663 0.3663  1 Cd 2.57, 3 Lu 2.69
S 0.8837 0.8837 0.8837  1 Cd 2.57, 3 Lu 2.69
S 0.3488 0.8837 0.8837  1 Cd 2.57, 3 Lu 2.69
S 0.3663 0.9012 0.3663  1 Cd 2.57, 3 Lu 2.69
S 0.8837 0.8837 0.3488  1 Cd 2.57, 3 Lu 2.69

12.
A relaxed LuCdS2 crystal, computed with GGA-PBE.

Computed properties:
**DOS at the Fermi energy**: 1.7 states/eV/cell
**Uncorrected formation energy**: -1.226 eV per atom
**Spin magnetization**: 0.0 μB/cell
**Total energy**: -4.65 eV per atom
**Calculated volume**: 106 Å³/cell
**Calculated density**: 5.50 Mg/m³

Unit cell a=3.8802 b=3.8802 c=8.4372 alpha=76.71 beta=76.71 gamma=60.00
With the nearest neighbours (Å) after each atom.
Fractional positions:
S 0.1070 0.1070 0.6791  1 Cd 2.61, 3 Lu 2.67
S 0.8930 0.8930 0.3209  1 Cd 2.61, 3 Lu 2.67
Lu 0.5000 0.5000 0.5000  6 S 2.67
Cd 0.0000 0.0000 0.0000  2 S 2.61